No. 1
This record from Alexandria via LeMat-Bulk describes a geometry-optimized La2Y4Sc structure. The functional is PBE.

```
La2Y4Sc
1.0
5.4537 -5.4537 0.0000
5.4537 5.4537 0.0000
-0.0145 0.0000 8.1661
La Y Sc
4 8 2
direct
0.0000 0.0000 0.0000
0.0000 0.0000 0.5000
0.0000 0.5000 0.0000
0.5000 0.0000 0.0000
0.2594 0.7392 0.7196
0.2602 0.2602 0.2804
0.2600 0.2600 0.7196
0.2608 0.7406 0.2804
0.7392 0.2594 0.7196
0.7400 0.7400 0.2804
0.7398 0.7398 0.7196
0.7406 0.2608 0.2804
0.5000 0.5000 0.0000
0.5000 0.5000 0.5000
```

Calculated values
Space-group type: C2/m, No. 12

No. 2
This record from Alexandria via LeMat-Bulk describes a geometry-optimized Sr4MnN4 structure. The functional is PBE.

```
Sr4MnN4
1.0
7.4048 0.0000 0.0000
0.0000 7.4048 0.0000
0.0000 0.0000 5.7996
Sr Mn N
8 2 8
direct
0.0271 0.2500 0.0968
0.2500 0.0271 0.5968
0.2500 0.4729 0.5968
0.4729 0.2500 0.0968
0.5271 0.7500 0.9032
0.7500 0.5271 0.4032
0.7500 0.9729 0.4032
0.9729 0.7500 0.9032
0.2500 0.7500 0.2500
0.7500 0.2500 0.7500
0.0439 0.7500 0.4416
0.2500 0.5439 0.0584
0.2500 0.9561 0.0584
0.4561 0.7500 0.4416
0.5439 0.2500 0.5584
0.7500 0.0439 0.9416
0.7500 0.4561 0.9416
0.9561 0.2500 0.5584
```

Calculated values
Space-group type: P4_2/nmc, No. 137
E above lowest polymorph in eV/atom: 0.174
Energy relative to the elements, uncorrected in eV/f.u.: -4.45

No. 3
This record from Alexandria via LeMat-Bulk describes a geometry-optimized NpNiH8Rh2 structure. The functional is PBE.

```
NpNiH8Rh2
1.0
2.2901 1.3222 5.4401
-2.2901 1.3222 5.4401
0.0000 -2.6444 5.4401
Np Ni H Rh
1 1 8 2
direct
0.0000 0.0000 0.0000
0.5000 0.5000 0.5000
0.1567 0.4027 0.7873
0.2127 0.8433 0.5973
0.3144 0.3144 0.3144
0.4027 0.7873 0.1567
0.5973 0.2127 0.8433
0.6856 0.6856 0.6856
0.7873 0.1567 0.4027
0.8433 0.5973 0.2127
0.2113 0.2113 0.2113
0.7887 0.7887 0.7887
```

Calculated values
Space-group type: R-3, No. 148

No. 4
This record from Alexandria via LeMat-Bulk describes a geometry-optimized CaNiRh3 structure. The functional is PBE.

```
CaNiRh3
1.0
4.7084 0.0000 0.0000
0.0000 4.7084 0.0000
0.0000 0.0000 4.7084
Ca Ni Rh
1 1 3
direct
0.0000 0.0000 0.0000
0.5000 0.5000 0.5000
0.0000 0.0000 0.5000
0.0000 0.5000 0.0000
0.5000 0.0000 0.0000
```

Calculated values
Space-group type: Pm-3m, No. 221
E above lowest polymorph in eV/atom: 1.342

No. 5
This record from Alexandria via LeMat-Bulk describes a geometry-optimized Tb2NdAl2Ag2 structure. The functional is PBE.

```
Tb2NdAl2Ag2
1.0
2.3488 1.3561 9.0079
-2.3488 1.3561 9.0079
0.0000 -2.7121 9.0079
Tb Nd Al Ag
2 1 2 2
direct
0.1277 0.1277 0.1277
0.8723 0.8723 0.8723
0.0000 0.0000 0.0000
0.2581 0.2581 0.2581
0.7419 0.7419 0.7419
0.4043 0.4043 0.4043
0.5957 0.5957 0.5957
```

Calculated values
Space-group type: R-3m, No. 166

No. 6
This record from Alexandria via LeMat-Bulk describes a geometry-optimized Tb3DyY2As6 structure. The functional is PBE.

```
Tb3DyY2As6
1.0
9.0002 -2.0656 0.0000
9.0002 2.0656 0.0000
-1.8917 0.0000 8.0389
Tb Dy Y As
3 1 2 6
direct
0.0000 0.0000 0.0000
0.3333 0.3333 0.6667
0.6667 0.6667 0.3333
0.0000 0.0000 0.5000
0.3334 0.3334 0.1667
0.6666 0.6666 0.8333
0.1664 0.1664 0.5835
0.1668 0.1668 0.0829
0.4999 0.4999 0.2508
0.5001 0.5001 0.7492
0.8332 0.8332 0.9171
0.8336 0.8336 0.4165
```

Calculated values
Space-group type: C2/m, No. 12

No. 7
This record from Alexandria via LeMat-Bulk describes a geometry-optimized Na2ZrGaTe5 structure. The functional is PBE.

```
Na2ZrGaTe5
1.0
1.9558 -9.9289 0.0000
1.9558 9.9289 0.0000
0.0000 0.0000 15.0210
Na Zr Ga Te
4 2 2 10
direct
0.1082 0.8918 0.5000
0.1197 0.8803 0.1609
0.8803 0.1197 0.6609
0.8918 0.1082 0.0000
0.2210 0.7790 0.8791
0.7790 0.2210 0.3791
0.4273 0.5727 0.2595
0.5727 0.4273 0.7595
0.0629 0.9371 0.8776
0.2850 0.7150 0.5183
0.2947 0.7053 0.2311
0.3599 0.6401 0.8364
0.4931 0.5069 0.1096
0.5069 0.4931 0.6096
0.6401 0.3599 0.3364
0.7053 0.2947 0.7311
0.7150 0.2850 0.0183
0.9371 0.0629 0.3776
```

Calculated values
Space-group type: Cmc2_1, No. 36
Energy relative to the elements, uncorrected in eV/f.u.: -5.90

No. 8
This record from Alexandria via LeMat-Bulk describes a geometry-optimized Zn3W2 structure. The functional is PBE.

```
Zn3W2
1.0
2.8050 0.0000 0.0000
-1.4025 2.4292 0.0000
0.0000 0.0000 33.8694
Zn W
9 6
direct
0.0000 0.0000 0.0000
0.0000 0.0000 0.1997
0.0000 0.0000 0.8003
0.3333 0.6667 0.4669
0.3333 0.6667 0.6667
0.3333 0.6667 0.8664
0.6667 0.3333 0.1336
0.6667 0.3333 0.3333
0.6667 0.3333 0.5331
0.0000 0.0000 0.4004
0.0000 0.0000 0.5996
0.3333 0.6667 0.0671
0.3333 0.6667 0.2662
0.6667 0.3333 0.7338
0.6667 0.3333 0.9329
```

Calculated values
Space-group type: R-3m, No. 166
E above lowest polymorph in eV/atom: 0.000

No. 9
This record from Alexandria via LeMat-Bulk describes a geometry-optimized Pa2CrIn structure. The functional is PBE.

```
Pa2CrIn
1.0
3.1131 0.0000 0.0000
0.0000 3.1131 0.0000
0.0000 0.0000 8.9850
Pa Cr In
2 1 1
direct
0.0000 0.0000 0.2046
0.0000 0.0000 0.7954
0.5000 0.5000 0.0000
0.5000 0.5000 0.5000
```

Calculated values
Space-group type: P4/mmm, No. 123

No. 10
This record from Alexandria via LeMat-Bulk describes a geometry-optimized La12NdDy6 structure. The functional is PBE.

```
La12NdDy6
1.0
7.5108 4.3363 3.5043
-7.5108 4.3363 3.5043
0.0000 -8.6727 3.5043
La Nd Dy
12 1 6
direct
0.1277 0.8220 0.2862
0.1780 0.7138 0.8723
0.1970 0.5781 0.4832
0.2862 0.1277 0.8220
0.4219 0.5168 0.8030
0.4832 0.1970 0.5781
0.5168 0.8030 0.4219
0.5781 0.4832 0.1970
0.7138 0.8723 0.1780
0.8030 0.4219 0.5168
0.8220 0.2862 0.1277
0.8723 0.1780 0.7138
0.0000 0.0000 0.0000
0.0805 0.1911 0.4510
0.1911 0.4510 0.0805
0.4510 0.0805 0.1911
0.5490 0.9195 0.8089
0.8089 0.5490 0.9195
0.9195 0.8089 0.5490
```

Calculated values
Space-group type: R-3, No. 148

No. 11
This record from Alexandria via LeMat-Bulk describes a geometry-optimized SrLi4HgPb2 structure. The functional is PBE.

```
SrLi4HgPb2
1.0
2.4378 1.4075 9.1230
-2.4378 1.4075 9.1230
0.0000 -2.8149 9.1230
Sr Li Hg Pb
1 4 1 2
direct
0.0000 0.0000 0.0000
0.1338 0.1338 0.1338
0.4048 0.4048 0.4048
0.5952 0.5952 0.5952
0.8662 0.8662 0.8662
0.5000 0.5000 0.5000
0.2525 0.2525 0.2525
0.7475 0.7475 0.7475
```

Calculated values
Space-group type: R-3m, No. 166

No. 12
This record from Alexandria via LeMat-Bulk describes a geometry-optimized PrEr2Mg structure. The functional is PBE.

```
PrEr2Mg
1.0
3.6790 0.0000 0.0000
0.0000 3.6790 0.0000
0.0000 0.0000 8.9183
Pr Er Mg
1 2 1
direct
0.0000 0.0000 0.0000
0.5000 0.5000 0.2802
0.5000 0.5000 0.7198
0.0000 0.0000 0.5000
```

Calculated values
Space-group type: P4/mmm, No. 123
E above lowest polymorph in eV/atom: 0.009

It is found that the total energy values, taken in the order of the records, are -5.693; -5.961; -5.093; -4.173; -4.173; -6.489; -3.981; -5.639; -7.776; -4.598; -2.475; -3.893 eV/atom.
It is found that the size of the total moment values, taken in the order of the records, are 0.41; 6.02; 4.14; 2.99; 0.00; 0.00; 0.00; 0.00; 0.45; 0.00; 0.00; 0.00 Bohr magnetons per cell.